VASP calculation (PBE) on crystalline K2Hf3AgO8 at its relaxed geometry.

Values from the calculation:
Formation energy without anion corrections   -2.547 eV per atom

Lattice parameters (Å, degrees): 7.5423 7.5423 7.5423 51.07 51.07 51.07
Last column: nearest neighbours and their distance in Å.
Atoms (fractional coordinates):
K (0.0000, 0.0000, 0.0000)  6 O 2.69-2.78
K (0.3624, 0.3624, 0.3624)  4 O 2.62-2.79
Hf (0.4920, 0.9983, 0.9983)  6 O 2.04-2.17
Hf (0.9983, 0.4920, 0.9983)  6 O 2.04-2.17
Hf (0.9983, 0.9983, 0.4920)  6 O 2.04-2.17
Ag (0.5655, 0.5655, 0.5655)  3 O 2.13
O (0.1801, 0.7462, 0.7462)  1 Ag 2.13, 2 Hf 2.15
O (0.2203, 0.2203, 0.2203)  3 Hf 2.17
O (0.2628, 0.2628, 0.8106)  2 Hf 2.04
O (0.2628, 0.8106, 0.2628)  2 Hf 2.04
O (0.7462, 0.1801, 0.7462)  1 Ag 2.13, 2 Hf 2.15
O (0.7462, 0.7462, 0.1801)  1 Ag 2.13, 2 Hf 2.15
O (0.7788, 0.7788, 0.7788)  3 Hf 2.15
O (0.8106, 0.2628, 0.2628)  2 Hf 2.04